The following is a DFT calculation (PBE) of PmThMg2 after structural relaxation.

a b c (Å): 3.3898 3.3898 35.0183
angles (deg): 90.00 90.00 120.00
Closest atoms and distances in Å follow each position.
Space group R-3m (No. 166, hexagonal axes)
Inequivalent atoms, fractional coordinates:
Pm1 0.0000 0.0000 0.0000  6 Pm 3.39, 6 Mg 3.50
Th1 0.0000 0.0000 0.5000  6 Th 3.39, 6 Mg 3.53
Mg1 0.0000 0.0000 0.2505  6 Mg 3.39, 3 Pm 3.50, 3 Th 3.53

## Properties
* energy relative to the lowest polymorph listed for this composition: 91.0 meV per atom
* electronic total energy: -3.756 eV/atom
* total moment: 0.0 μB per formula unit